Below is a relaxed Ti5Co crystal, with properties calculated at the GGA-PBE level.

Values from the calculation:
crystal system = tetragonal
formation enthalpy at 0 K = 0.1441 eV/atom
calculated total energy = -91.432 eV for the cell shown
ΔE to the lowest computed polymorph = 24.5 kJ/mol of atoms
total magnetization = 0.0 μB per cell

Cell lengths 6.4032, 6.4032, 6.6479 Å; angles 118.79, 118.79, 90.00 degrees
Last column: nearest neighbours and their distance in Å.
Sites, in units of the cell vectors:
Ti1 0.0099 0.5099 0.7150  2 Co 2.65, 7 Ti 2.74-2.86
Ti2 0.5000 0.5000 0.0000  2 Co 2.43
Ti3 0.5099 0.7051 0.7150  2 Co 2.65, 7 Ti 2.74-2.86
Ti4 0.2051 0.0099 0.7150  2 Co 2.65, 7 Ti 2.74-2.86
Ti5 0.2949 0.7949 0.2850  2 Co 2.65, 7 Ti 2.74-2.86
Ti6 0.0000 0.0000 0.0000  2 Co 2.43
Ti7 0.7949 0.9901 0.2850  2 Co 2.65, 7 Ti 2.74-2.86
Ti8 0.7051 0.2051 0.7150  2 Co 2.65, 7 Ti 2.74-2.86
Ti9 0.9901 0.4901 0.2850  2 Co 2.65, 7 Ti 2.74-2.86
Ti10 0.4901 0.2949 0.2850  2 Co 2.65, 7 Ti 2.74-2.86
Co1 0.2500 0.2500 0.5000  10 Ti 2.43-2.65
Co2 0.7500 0.7500 0.5000  10 Ti 2.43-2.65


Below is a relaxed AcAgSb3 crystal, with properties calculated at the GGA-PBE level.

Values from the calculation:
crystal system = orthorhombic
formation energy (no corrections) = -0.452 eV/atom
calculated total energy = -86.355 eV for the cell shown
ΔE to the lowest computed polymorph = 0.0 kJ/mol of atoms
total magnetization = 0.0 μB per cell

Cell lengths 6.5037, 6.5077, 13.8187 Å; angles 90.00, 90.00, 90.00 degrees
Last column: nearest neighbours and their distance in Å.
Sites, in units of the cell vectors:
Sb1 0.7500 0.3063 0.9308  2 Ag 2.93, 1 Sb 2.98
Sb2 0.2500 0.9953 0.2315  2 Ag 2.91, 1 Sb 2.98
Sb3 0.7500 0.0047 0.7685  2 Ag 2.91, 1 Sb 2.98
Sb4 0.2500 0.1937 0.9308  2 Ag 2.93, 1 Sb 2.98
Sb5 0.5000 0.2500 0.4986  4 Sb 3.25, 4 Ac 3.46-3.49
Sb6 0.7500 0.8063 0.0692  2 Ag 2.93, 1 Sb 2.98
Sb7 0.2500 0.4953 0.7685  2 Ag 2.91, 1 Sb 2.98
Sb8 0.0000 0.2500 0.4986  4 Sb 3.25, 4 Ac 3.46-3.49
Sb9 0.2500 0.6937 0.0692  2 Ag 2.93, 1 Sb 2.98
Sb10 0.5000 0.7500 0.5014  4 Sb 3.25, 4 Ac 3.46-3.49
Sb11 0.0000 0.7500 0.5014  4 Sb 3.25, 4 Ac 3.46-3.49
Sb12 0.7500 0.5047 0.2315  2 Ag 2.91, 1 Sb 2.98
Ac1 0.2500 0.0012 0.6884  9 Sb 3.40-3.58, 2 Ag 3.67
Ac2 0.7500 0.4988 0.6884  9 Sb 3.40-3.58, 2 Ag 3.67
Ac3 0.7500 0.9988 0.3116  9 Sb 3.40-3.58, 2 Ag 3.67
Ac4 0.2500 0.5012 0.3116  9 Sb 3.40-3.58, 2 Ag 3.67
Ag1 0.0000 0.7500 0.8950  4 Sb 2.91-2.93, 2 Ag 3.25
Ag2 0.5000 0.7500 0.8950  4 Sb 2.91-2.93, 2 Ag 3.25
Ag3 0.0000 0.2500 0.1050  4 Sb 2.91-2.93, 2 Ag 3.25
Ag4 0.5000 0.2500 0.1050  4 Sb 2.91-2.93, 2 Ag 3.25


Below is a relaxed TbDyYSc crystal, with properties calculated at the GGA-PBE level.

Values from the calculation:
crystal system = cubic
formation enthalpy at 0 K = 0.1285 eV/atom
calculated total energy = -21.514 eV for the cell shown
ΔE to the lowest computed polymorph = 8.1 kJ/mol of atoms
total magnetization = 0.0 μB per cell

Cell lengths 5.5479, 5.5479, 5.5479 Å; angles 60.00, 60.00, 60.00 degrees
Last column: nearest neighbours and their distance in Å.
Sites, in units of the cell vectors:
Y1 0.2500 0.2500 0.2500  4 Tb 3.40, 4 Dy 3.40
Dy1 0.0000 0.0000 0.0000  4 Y 3.40, 4 Sc 3.40
Sc1 0.7500 0.7500 0.7500  4 Dy 3.40, 4 Tb 3.40
Tb1 0.5000 0.5000 0.5000  4 Sc 3.40, 4 Y 3.40


Below is a relaxed DyMgCl4 crystal, with properties calculated at the GGA-PBE level.

Values from the calculation:
crystal system = monoclinic
formation energy (no corrections) = -1.846 eV/atom
calculated total energy = -24.661 eV for the cell shown
total magnetization = 0.0 μB per cell

Cell lengths 3.5538, 7.1564, 6.9661 Å; angles 106.47, 90.00, 90.00 degrees
Last column: nearest neighbours and their distance in Å.
Sites, in units of the cell vectors:
Cl1 0.5000 0.2982 0.2801  2 Mg 2.52, 1 Dy 2.74
Cl2 0.5000 0.7018 0.7199  2 Mg 2.52, 1 Dy 2.74
Cl3 0.0000 0.2756 0.7236  1 Mg 2.53, 2 Dy 2.77
Cl4 0.0000 0.7244 0.2764  1 Mg 2.53, 2 Dy 2.77
Dy1 0.5000 0.5000 0.0000  6 Cl 2.74-2.77
Mg1 0.0000 0.5000 0.5000  6 Cl 2.52-2.53


Below is a relaxed Li3GaAu12 crystal, with properties calculated at the GGA-PBE level.

Values from the calculation:
crystal system = tetragonal
formation enthalpy at 0 K = -0.2799 eV/atom
calculated total energy = -52.576 eV for the cell shown
total magnetization = 0.0 μB per cell

Cell lengths 4.0802, 4.0802, 16.4339 Å; angles 90.00, 90.00, 90.00 degrees
Last column: nearest neighbours and their distance in Å.
Sites, in units of the cell vectors:
Au1 0.5000 0.0000 0.8709  8 Au 2.88-2.94, 2 Li 2.89, 2 Ga 2.94
Au2 0.5000 0.0000 0.3766  4 Li 2.88, 8 Au 2.88-2.89
Au3 0.5000 0.5000 0.2529  8 Au 2.88, 4 Li 2.89
Au4 0.0000 0.5000 0.3766  4 Li 2.88, 8 Au 2.88-2.89
Au5 0.5000 0.5000 0.0000  4 Ga 2.89, 8 Au 2.94
Au6 0.0000 0.5000 0.6234  4 Li 2.88, 8 Au 2.88-2.89
Au7 0.5000 0.0000 0.6234  4 Li 2.88, 8 Au 2.88-2.89
Au8 0.5000 0.5000 0.5000  8 Au 2.88, 4 Li 2.89
Au9 0.0000 0.5000 0.1291  8 Au 2.88-2.94, 2 Li 2.89, 2 Ga 2.94
Au10 0.0000 0.5000 0.8709  8 Au 2.88-2.94, 2 Li 2.89, 2 Ga 2.94
Au11 0.5000 0.5000 0.7471  8 Au 2.88, 4 Li 2.89
Au12 0.5000 0.0000 0.1291  8 Au 2.88-2.94, 2 Li 2.89, 2 Ga 2.94
Li1 0.0000 0.0000 0.7467  12 Au 2.88-2.89
Li2 0.0000 0.0000 0.2533  12 Au 2.88-2.89
Li3 0.0000 0.0000 0.5000  12 Au 2.88-2.89
Ga1 0.0000 0.0000 0.0000  12 Au 2.89-2.94


Below is a relaxed Nd4P3PtRh12 crystal, with properties calculated at the GGA-PBE level.

Values from the calculation:
crystal system = cubic
formation enthalpy at 0 K = -0.4852 eV/atom
calculated total energy = -139.263 eV for the cell shown
total magnetization = 0.0 μB per cell

Cell lengths 7.9086, 7.9086, 7.9086 Å; angles 109.47, 109.47, 109.47 degrees
Last column: nearest neighbours and their distance in Å.
Sites, in units of the cell vectors:
Nd1 0.0000 0.5000 0.0000  12 Rh 3.23
Nd2 0.5000 0.0000 0.0000  12 Rh 3.23
Nd3 0.0000 0.0000 0.5000  12 Rh 3.23
Nd4 0.5000 0.5000 0.5000  12 Rh 3.23
P1 0.5000 0.0000 0.5000  6 Rh 2.09-2.28
P2 0.0000 0.5000 0.5000  6 Rh 2.09-2.28
P3 0.5000 0.5000 0.0000  6 Rh 2.09-2.28
Rh1 0.7292 0.7292 0.0000  1 P 2.09
Rh2 0.7500 0.2500 0.5000  2 P 2.28
Rh3 0.2708 0.2708 0.0000  1 P 2.09
Rh4 0.0000 0.2708 0.2708  1 P 2.09
Rh5 0.2500 0.5000 0.7500  2 P 2.28
Rh6 0.5000 0.2500 0.7500  2 P 2.28
Rh7 0.2500 0.7500 0.5000  2 P 2.28
Rh8 0.0000 0.7292 0.7292  1 P 2.09
Rh9 0.5000 0.7500 0.2500  2 P 2.28
Rh10 0.2708 0.0000 0.2708  1 P 2.09
Rh11 0.7500 0.5000 0.2500  2 P 2.28
Rh12 0.7292 0.0000 0.7292  1 P 2.09
Pt1 0.0000 0.0000 0.0000  6 Rh 2.47